[1]
Below is Er2AlOs3 after structural relaxation, with properties calculated at the PBE level.

Output
Its energy of formation is -0.4071 eV per atom. The total magnetization comes out at 0.00 μB per formula unit. The energy is -8.17 eV per atom.

abc: 5.296 5.296 5.296
angles: 61.07 61.07 61.07
Positions (direct):
Er 0.122 0.122 0.122
Er 0.878 0.878 0.878
Al 0.500 0.500 0.500
Os 0.000 0.500 0.500
Os 0.500 0.000 0.500
Os 0.500 0.500 0.000

[2]
Below is Pr4Au2I5 after structural relaxation, with properties calculated at the PBE level.

Output
The value obtained for the excess energy over the best structure of this formula in the dataset is 0.0 meV/atom. The total magnetization comes out at 0.00 μB per formula unit. For the energy relative to the elements, uncorrected, the calculation gives -0.967 eV per atom. The energy is -4.01 eV per atom.

abc: 15.443 15.443 15.443
angles: 164.62 146.20 37.33
Positions (direct):
Pr 0.145 0.145 0.000
Pr 0.201 0.500 0.701
Pr 0.799 0.500 0.299
Pr 0.855 0.855 0.000
Au 0.048 0.048 0.000
Au 0.952 0.952 0.000
I 0.070 0.325 0.745
I 0.420 0.675 0.745
I 0.500 0.000 0.500
I 0.580 0.325 0.255
I 0.930 0.675 0.255

[3]
Below is Y3Tl3GeS8 after structural relaxation, with properties calculated at the PBE level.

Output
The total magnetization comes out at 0.00 μB per formula unit. For the energy relative to the elements, uncorrected, the calculation gives -1.180 eV per atom. The energy is -5.46 eV per atom.

abc: 8.874 8.874 8.874
angles: 52.66 52.66 52.66
Positions (direct):
Y 0.000 0.500 0.500
Y 0.500 0.000 0.500
Y 0.500 0.500 0.000
Tl 0.000 0.000 0.500
Tl 0.000 0.500 0.000
Tl 0.500 0.000 0.000
Ge 0.000 0.000 0.000
S 0.213 0.213 0.759
S 0.213 0.759 0.213
S 0.241 0.787 0.787
S 0.267 0.267 0.267
S 0.733 0.733 0.733
S 0.759 0.213 0.213
S 0.787 0.241 0.787
S 0.787 0.787 0.241

[4]
Below is Be2NbRu2 after structural relaxation, with properties calculated at the PBE level.

Output
Its energy of formation is 0.1399 eV per atom. The value obtained for the excess energy over the best structure of this formula in the dataset is 516.1 meV/atom. The total magnetization comes out at 0.00 μB per formula unit. The energy is -7.07 eV per atom.

abc: 5.233 5.233 5.233
angles: 136.83 136.83 62.70
Positions (direct):
Be 0.250 0.750 0.500
Be 0.750 0.250 0.500
Nb 0.000 0.000 0.000
Ru 0.365 0.365 0.000
Ru 0.635 0.635 0.000

[5]
Below is Sm2YMg2 after structural relaxation, with properties calculated at the PBE level.

Output
Its energy of formation is 0.0401 eV per atom. The value obtained for the excess energy over the best structure of this formula in the dataset is 119.5 meV/atom. The total magnetization comes out at 0.00 μB per formula unit. The energy is -3.78 eV per atom.

abc: 6.009 6.009 6.009
angles: 128.14 108.79 93.45
Positions (direct):
Sm 0.195 0.195 0.000
Sm 0.805 0.805 0.000
Y 0.500 0.000 0.500
Mg 0.208 0.500 0.708
Mg 0.792 0.500 0.292

[6]
Below is CuHRuRh2 after structural relaxation, with properties calculated at the PBE level.

Output
The value obtained for the excess energy over the best structure of this formula in the dataset is 0.0 meV/atom. The total magnetization comes out at 1.38 μB per formula unit. The energy is -6.12 eV per atom.

abc: 3.888 3.888 3.846
angles: 90.00 90.00 90.00
Positions (direct):
Cu 0.000 0.000 0.000
H 0.500 0.500 0.500
Ru 0.500 0.500 0.000
Rh 0.000 0.500 0.500
Rh 0.500 0.000 0.500

[7]
Below is Cu3AgI after structural relaxation, with properties calculated at the PBE level.

Output
The total magnetization comes out at 0.00 μB per formula unit. For the energy relative to the elements, uncorrected, the calculation gives 0.831 eV per atom. The energy is -2.51 eV per atom.

abc: 4.842 4.842 4.842
angles: 90.00 90.00 90.00
Positions (direct):
Cu 0.000 0.000 0.500
Cu 0.000 0.500 0.000
Cu 0.500 0.000 0.000
Ag 0.000 0.000 0.000
I 0.500 0.500 0.500

[8]
Below is Cs2UPdI6 after structural relaxation, with properties calculated at the PBE level.

Output
The total magnetization comes out at 1.93 μB per formula unit. For the energy relative to the elements, uncorrected, the calculation gives -0.971 eV per atom. The energy is -3.72 eV per atom.

abc: 8.588 8.588 6.826
angles: 90.00 90.00 120.00
Positions (direct):
Cs 0.333 0.667 0.243
Cs 0.667 0.333 0.757
U 0.000 0.000 0.000
Pd 0.000 0.000 0.500
I 0.169 0.338 0.747
I 0.169 0.831 0.747
I 0.338 0.169 0.253
I 0.662 0.831 0.747
I 0.831 0.169 0.253
I 0.831 0.662 0.253

[9]
Below is La2TbC after structural relaxation, with properties calculated at the PBE level.

Output
Its energy of formation is 0.9406 eV per atom. The total magnetization comes out at 0.00 μB per formula unit. The energy is -4.99 eV per atom.

abc: 10.078 10.078 10.078
angles: 23.42 23.42 23.42
Positions (direct):
La 0.071 0.071 0.071
La 0.929 0.929 0.929
Tb 0.500 0.500 0.500
C 0.000 0.000 0.000

[10]
Below is HfThPd2 after structural relaxation, with properties calculated at the PBE level.

Output
Its energy of formation is -0.5661 eV per atom. The value obtained for the excess energy over the best structure of this formula in the dataset is 84.8 meV/atom. The total magnetization comes out at 0.00 μB per formula unit. The energy is -7.51 eV per atom.

abc: 4.910 4.910 3.506
angles: 90.00 90.00 90.00
Positions (direct):
Hf 0.000 0.000 0.000
Th 0.500 0.500 0.000
Pd 0.000 0.500 0.500
Pd 0.500 0.000 0.500

[11]
Below is Zr2AlBiBr after structural relaxation, with properties calculated at the PBE level.

Output
The total magnetization comes out at 0.00 μB per formula unit. For the energy relative to the elements, uncorrected, the calculation gives 0.713 eV per atom. The energy is -4.57 eV per atom.

abc: 4.984 4.984 5.664
angles: 90.00 90.00 90.00
Positions (direct):
Zr 0.000 0.500 0.000
Zr 0.500 0.000 0.000
Al 0.000 0.000 0.500
Bi 0.500 0.500 0.500
Br 0.500 0.500 0.000

[12]
Below is Ba2TaIn after structural relaxation, with properties calculated at the PBE level.

Output
Its energy of formation is 0.6442 eV per atom. The value obtained for the excess energy over the best structure of this formula in the dataset is 194.3 meV/atom. The total magnetization comes out at 0.00 μB per formula unit. The energy is -3.96 eV per atom.

abc: 3.414 3.414 10.894
angles: 90.00 90.00 90.00
Positions (direct):
Ba 0.000 0.000 0.243
Ba 0.000 0.000 0.757
Ta 0.500 0.500 0.000
In 0.500 0.500 0.500

[13]
Below is ZrTaRh after structural relaxation, with properties calculated at the PBE level.

Output
Its energy of formation is -0.4125 eV per atom. The value obtained for the excess energy over the best structure of this formula in the dataset is 0.0 meV/atom. The total magnetization comes out at 0.00 μB per formula unit. The energy is -9.66 eV per atom.

abc: 5.828 5.828 5.828
angles: 148.12 148.12 45.70
Positions (direct):
Zr 0.000 0.000 0.000
Ta 0.315 0.315 0.000
Rh 0.676 0.676 0.000

[14]
Below is Na2PaInO5 after structural relaxation, with properties calculated at the PBE level.

Output
The total magnetization comes out at 0.07 μB per formula unit. For the energy relative to the elements, uncorrected, the calculation gives -2.117 eV per atom. The energy is -6.52 eV per atom.

abc: 4.220 4.220 8.410
angles: 90.00 90.00 90.00
Positions (direct):
Na 0.000 0.000 0.239
Na 0.000 0.000 0.761
Pa 0.500 0.500 0.000
In 0.500 0.500 0.500
O 0.000 0.000 0.500
O 0.000 0.500 0.000
O 0.500 0.000 0.000
O 0.500 0.500 0.260
O 0.500 0.500 0.740

[15]
Below is ZrReIr after structural relaxation, with properties calculated at the PBE level.

Output
Its energy of formation is 0.7860 eV per atom. The value obtained for the excess energy over the best structure of this formula in the dataset is 1071.3 meV/atom. The total magnetization comes out at 0.00 μB per formula unit. The energy is -9.17 eV per atom.

abc: 4.394 4.394 4.394
angles: 60.00 60.00 60.00
Positions (direct):
Zr 0.000 0.000 0.000
Re 0.250 0.250 0.250
Ir 0.750 0.750 0.750

[16]
Below is BaSrBr2 after structural relaxation, with properties calculated at the PBE level.

Output
The value obtained for the excess energy over the best structure of this formula in the dataset is 69.2 meV/atom. The total magnetization comes out at 0.00 μB per formula unit. For the energy relative to the elements, uncorrected, the calculation gives -1.431 eV per atom. The energy is -3.17 eV per atom.

abc: 8.809 8.809 8.809
angles: 29.61 29.61 29.61
Positions (direct):
Ba 0.000 0.000 0.000
Sr 0.820 0.820 0.820
Br 0.228 0.228 0.228
Br 0.422 0.422 0.422

[17]
Below is Cd2CoP after structural relaxation, with properties calculated at the PBE level.

Output
Its energy of formation is -0.0102 eV per atom. The total magnetization comes out at 0.47 μB per formula unit. The energy is -3.60 eV per atom.

abc: 7.265 7.265 7.265
angles: 157.69 151.41 36.56
Positions (direct):
Cd 0.176 0.176 0.000
Cd 0.824 0.824 0.000
Co 0.000 0.500 0.500
P 0.500 0.000 0.500

[18]
Below is PrAl after structural relaxation, with properties calculated at the PBE level.

Output
Its energy of formation is -0.3383 eV per atom. The total magnetization comes out at 0.00 μB per formula unit. The energy is -4.60 eV per atom.

abc: 3.760 3.760 3.760
angles: 90.00 90.00 90.00
Positions (direct):
Pr 0.000 0.000 0.000
Al 0.500 0.500 0.500

[19]
Below is ScFe2Te after structural relaxation, with properties calculated at the PBE level.

Output
The total magnetization comes out at 3.96 μB per formula unit. For the energy relative to the elements, uncorrected, the calculation gives -0.037 eV per atom. The energy is -6.64 eV per atom.

abc: 5.139 5.139 5.139
angles: 139.28 130.73 65.77
Positions (direct):
Sc 0.000 0.000 0.000
Fe 0.515 0.515 0.000
Fe 0.729 0.229 0.500
Te 0.267 0.767 0.500

[20]
Below is LaSbTeH after structural relaxation, with properties calculated at the PBE level.

Output
The value obtained for the excess energy over the best structure of this formula in the dataset is 128.3 meV/atom. The total magnetization comes out at 0.00 μB per formula unit. The energy is -4.42 eV per atom.

abc: 4.435 4.777 5.991
angles: 78.39 70.05 89.26
Positions (direct):
La 0.000 0.000 0.000
Sb 0.528 0.527 0.902
Te 0.318 0.110 0.399
H 0.383 0.779 0.660

[21]
Below is Ba2PCl after structural relaxation, with properties calculated at the PBE level.

Output
The value obtained for the excess energy over the best structure of this formula in the dataset is 95.9 meV/atom. The total magnetization comes out at 0.00 μB per formula unit. For the energy relative to the elements, uncorrected, the calculation gives -1.566 eV per atom. The energy is -4.34 eV per atom.

abc: 4.676 4.676 6.423
angles: 90.00 90.00 90.00
Positions (direct):
Ba 0.000 0.000 0.000
Ba 0.500 0.500 0.500
P 0.000 0.000 0.500
Cl 0.500 0.500 0.000

[22]
Below is NaAc2Er after structural relaxation, with properties calculated at the PBE level.

Output
Its energy of formation is 0.1234 eV per atom. The value obtained for the excess energy over the best structure of this formula in the dataset is 0.0 meV/atom. The total magnetization comes out at 0.00 μB per formula unit. The energy is -3.40 eV per atom.

abc: 4.127 4.127 9.452
angles: 90.00 90.00 90.00
Positions (direct):
Na 0.000 0.000 0.000
Ac 0.500 0.500 0.268
Ac 0.500 0.500 0.732
Er 0.000 0.000 0.500

[23]
Below is Ac6OsRh2Cl2 after structural relaxation, with properties calculated at the PBE level.

Output
The total magnetization comes out at 0.01 μB per formula unit. For the energy relative to the elements, uncorrected, the calculation gives -0.903 eV per atom. The energy is -5.84 eV per atom.

abc: 7.543 7.543 8.118
angles: 98.75 98.75 120.20
Positions (direct):
Ac 0.068 0.397 0.207
Ac 0.260 0.260 0.793
Ac 0.397 0.068 0.207
Ac 0.603 0.932 0.793
Ac 0.740 0.740 0.207
Ac 0.932 0.603 0.793
Os 0.000 0.000 0.000
Rh 0.330 0.670 0.000
Rh 0.670 0.330 0.000
Cl 0.162 0.838 0.500
Cl 0.838 0.162 0.500

[24]
Below is NiPS2Cl after structural relaxation, with properties calculated at the PBE level.

Output
The value obtained for the excess energy over the best structure of this formula in the dataset is 0.0 meV/atom. The total magnetization comes out at 0.00 μB per formula unit. For the energy relative to the elements, uncorrected, the calculation gives 0.582 eV per atom. The energy is -3.68 eV per atom.

abc: 4.473 4.473 4.409
angles: 90.00 90.00 90.00
Positions (direct):
Ni 0.000 0.000 0.000
P 0.500 0.500 0.500
S 0.000 0.500 0.000
S 0.500 0.000 0.000
Cl 0.000 0.000 0.500

[25]
Below is BaAs2PdSe after structural relaxation, with properties calculated at the PBE level.

Output
The value obtained for the excess energy over the best structure of this formula in the dataset is 1665.0 meV/atom. The total magnetization comes out at 2.17 μB per formula unit. For the energy relative to the elements, uncorrected, the calculation gives 1.234 eV per atom. The energy is -2.75 eV per atom.

abc: 5.972 5.972 5.924
angles: 90.00 90.00 90.00
Positions (direct):
Ba 0.000 0.000 0.000
As 0.000 0.500 0.000
As 0.500 0.000 0.000
Pd 0.500 0.500 0.500
Se 0.000 0.000 0.500

[26]
Below is LuThAlRu after structural relaxation, with properties calculated at the PBE level.

Output
Its energy of formation is -0.3163 eV per atom. The total magnetization comes out at 0.00 μB per formula unit. The energy is -6.56 eV per atom.

abc: 5.011 5.011 5.011
angles: 60.00 60.00 60.00
Positions (direct):
Lu 0.000 0.000 0.000
Th 0.500 0.500 0.500
Al 0.250 0.250 0.250
Ru 0.750 0.750 0.750

[27]
Below is YSb2Au after structural relaxation, with properties calculated at the PBE level.

Output
The total magnetization comes out at 0.00 μB per formula unit. For the energy relative to the elements, uncorrected, the calculation gives -0.434 eV per atom. The energy is -4.93 eV per atom.

abc: 4.231 4.034 6.278
angles: 90.00 102.95 90.00
Positions (direct):
Y 0.000 0.000 0.000
Sb 0.414 0.500 0.754
Sb 0.586 0.500 0.246
Au 0.000 0.000 0.500

[28]
Below is Li2CuRh after structural relaxation, with properties calculated at the PBE level.

Output
Its energy of formation is -0.1114 eV per atom. The value obtained for the excess energy over the best structure of this formula in the dataset is 17.2 meV/atom. The total magnetization comes out at 0.34 μB per formula unit. The energy is -3.93 eV per atom.

abc: 2.590 4.335 4.696
angles: 90.00 93.61 90.00
Positions (direct):
Li 0.210 0.000 0.240
Li 0.790 0.000 0.760
Cu 0.000 0.500 0.500
Rh 0.500 0.500 0.000

For reference, calculated volume by record: 17.9 49.4 27.3 13.3 30.3 11.6 22.7 43.6 35.5 21.1 28.1 31.7 18.3 16.6 20.0 36.9 17.4 26.6 16.5 29.2 35.1 40.2 34.6 17.6 42.2 22.2 26.1 13.2 Å³/atom.